DFT (PBE-GGA) results for an optimized crystal structure of PmGeRhN.

## Properties
- Total energy: -0.2634 hartree per atom
- Spin magnetization: 0.0 Bohr magnetons per cell
- Theoretical density: 8.19 g/cm3

Lattice parameters (Å, degrees): 3.9829 3.9829 8.5537 90.00 90.00 90.00
With the nearest neighbours (Å) after each atom.
Atoms (fractional coordinates):
1 Pm 0.0000 0.5000 0.8487  1 N 2.30
2 Pm 0.5000 0.0000 0.1513  1 N 2.30
3 Ge 0.0000 0.5000 0.3390  1 N 1.90
4 Ge 0.5000 0.0000 0.6610  1 N 1.90
5 Rh 0.0000 0.0000 0.5000  4 Ge 2.42
6 Rh 0.5000 0.5000 0.5000  4 Ge 2.42
7 N 0.5000 0.0000 0.8826  1 Ge 1.90
8 N 0.0000 0.5000 0.1174  1 Ge 1.90

---

DFT (PBE-GGA) results for an optimized crystal structure of VIrS2Cl.

## Properties
- Total energy: -0.1788 hartree per atom
- Spin magnetization: 0.1 Bohr magnetons per cell
- Theoretical density: 5.59 g/cm3

Lattice parameters (Å, degrees): 4.6842 4.6842 4.6399 90.00 90.00 90.00
With the nearest neighbours (Å) after each atom.
Atoms (fractional coordinates):
1 Cl 0.0000 0.0000 0.5000  2 Ir 2.32
2 S 0.0000 0.5000 0.0000  2 Ir 2.34
3 S 0.5000 0.0000 0.0000  2 Ir 2.34
4 Ir 0.0000 0.0000 0.0000  2 Cl 2.32, 4 S 2.34
5 V 0.5000 0.5000 0.5000  8 S 3.30, 4 Cl 3.31

---

DFT (PBE-GGA) results for an optimized crystal structure of Ce2CdO.

## Properties
- Total energy: -0.2038 hartree per atom
- Spin magnetization: 1.7 Bohr magnetons per cell
- Theoretical density: 8.59 g/cm3

Lattice parameters (Å, degrees): 3.0854 3.0854 8.2953 90.00 90.00 90.00
With the nearest neighbours (Å) after each atom.
Atoms (fractional coordinates):
1 O 0.5000 0.5000 0.0000  8 Ce 2.68
2 Ce 0.0000 0.0000 0.8132  4 O 2.68
3 Ce 0.0000 0.0000 0.1868  4 O 2.68
4 Cd 0.5000 0.5000 0.5000  4 Cd 3.09, 8 Ce 3.39

---

DFT (PBE-GGA) results for an optimized crystal structure of Ac4LaIn5.

## Properties
- Total energy: -0.1449 hartree per atom
- Spin magnetization: 0.0 Bohr magnetons per cell
- Theoretical density: 7.95 g/cm3
- E_form: -423 kJ/mol of formula units

Lattice parameters (Å, degrees): 4.0600 4.0600 20.5508 90.00 90.00 90.00
With the nearest neighbours (Å) after each atom.
Atoms (fractional coordinates):
1 Ac 0.0000 0.0000 0.1945  8 In 3.54-3.56
2 Ac 0.0000 0.0000 0.3980  8 In 3.56
3 Ac 0.0000 0.0000 0.6020  8 In 3.56
4 Ac 0.0000 0.0000 0.8055  8 In 3.54-3.56
5 La 0.0000 0.0000 0.0000  8 In 3.44
6 In 0.5000 0.5000 0.0918  4 La 3.44, 4 Ac 3.56, 1 In 3.77
7 In 0.5000 0.5000 0.2957  8 Ac 3.54-3.56
8 In 0.5000 0.5000 0.5000  8 Ac 3.56
9 In 0.5000 0.5000 0.7043  8 Ac 3.54-3.56
10 In 0.5000 0.5000 0.9082  4 La 3.44, 4 Ac 3.56, 1 In 3.77

---

DFT (PBE-GGA) results for an optimized crystal structure of Ho2Sc2AlGa4.

## Properties
- Total energy: -0.1587 hartree per atom
- Spin magnetization: 0.0 Bohr magnetons per cell
- Theoretical density: 5.93 g/cm3
- E_form: -115 kJ/mol of formula units

Lattice parameters (Å, degrees): 6.5134 6.5134 6.5134 95.16 117.07 117.07
With the nearest neighbours (Å) after each atom.
Atoms (fractional coordinates):
1 Ho 0.0000 0.6920 0.6920  1 Al 2.71, 4 Ga 2.91
2 Ho 0.0000 0.3080 0.3080  1 Al 2.71, 4 Ga 2.91
3 Sc 0.5000 0.7500 0.2500  8 Ga 3.26, 4 Ho 3.44
4 Sc 0.5000 0.2500 0.7500  8 Ga 3.26, 4 Ho 3.44
5 Al 0.0000 0.0000 0.0000  4 Ga 2.44, 2 Ho 2.71
6 Ga 0.0000 0.7466 0.2534  1 Al 2.44
7 Ga 0.4933 0.7466 0.7466  1 Al 2.44
8 Ga 0.0000 0.2534 0.7466  1 Al 2.44
9 Ga 0.5067 0.2534 0.2534  1 Al 2.44

---

DFT (PBE-GGA) results for an optimized crystal structure of Nd7Th2.

## Properties
- Total energy: -0.1954 hartree per atom
- Spin magnetization: 0.0 Bohr magnetons per cell
- Theoretical density: 7.87 g/cm3
- E_form: 36 kJ/mol of formula units

Lattice parameters (Å, degrees): 6.3226 6.3226 8.9841 90.00 90.00 120.00
With the nearest neighbours (Å) after each atom.
Atoms (fractional coordinates):
1 Nd 0.0000 0.0000 0.0000  6 Nd 3.62, 6 Th 3.65
2 Nd 0.6609 0.0000 0.3242  2 Th 3.58, 10 Nd 3.62-3.82
3 Nd 0.0000 0.6609 0.3242  2 Th 3.58, 10 Nd 3.62-3.82
4 Nd 0.3391 0.3391 0.3242  2 Th 3.58, 10 Nd 3.62-3.82
5 Nd 0.0000 0.3391 0.6758  2 Th 3.58, 10 Nd 3.62-3.82
6 Nd 0.3391 0.0000 0.6758  2 Th 3.58, 10 Nd 3.62-3.82
7 Nd 0.6609 0.6609 0.6758  2 Th 3.58, 10 Nd 3.62-3.82
8 Th 0.3333 0.6667 0.0000  9 Nd 3.58-3.65, 3 Th 3.65
9 Th 0.6667 0.3333 0.0000  9 Nd 3.58-3.65, 3 Th 3.65

---

DFT (PBE-GGA) results for an optimized crystal structure of CsCeCuI6.

## Properties
- Total energy: -0.1202 hartree per atom
- Spin magnetization: 0.1 Bohr magnetons per cell
- Theoretical density: 4.06 g/cm3

Lattice parameters (Å, degrees): 8.0017 8.0079 8.6261 93.31 86.85 54.87
With the nearest neighbours (Å) after each atom.
Atoms (fractional coordinates):
1 Cs 0.9471 0.9496 0.0004  6 I 3.88-4.04
2 Ce 0.6640 0.6639 0.5000  6 I 3.00-3.09
3 Cu 0.4074 0.4070 0.5001  4 I 2.58-2.65
4 I 0.9524 0.4080 0.2124  1 Ce 3.00
5 I 0.4075 0.9522 0.7875  1 Ce 3.00
6 I 0.6940 0.3248 0.6730  1 Cu 2.58
7 I 0.0476 0.5553 0.6585  1 Cu 2.65
8 I 0.3254 0.6920 0.3262  1 Cu 2.58
9 I 0.5543 0.0474 0.3419  1 Cu 2.65

---

DFT (PBE-GGA) results for an optimized crystal structure of ZrNbCr4.

## Properties
- Total energy: -0.3521 hartree per atom
- Spin magnetization: 0.0 Bohr magnetons per cell
- Theoretical density: 7.44 g/cm3
- E_form: -36 kJ/mol of formula units

Lattice parameters (Å, degrees): 4.9825 4.9825 4.9825 60.00 60.00 60.00
With the nearest neighbours (Å) after each atom.
Atoms (fractional coordinates):
1 Zr 0.0000 0.0000 0.0000  12 Cr 2.92, 4 Nb 3.05
2 Nb 0.2500 0.2500 0.2500  12 Cr 2.92, 4 Zr 3.05
3 Cr 0.6247 0.6247 0.1258  6 Cr 2.49-2.50
4 Cr 0.6247 0.1258 0.6247  6 Cr 2.49-2.50
5 Cr 0.1258 0.6247 0.6247  6 Cr 2.49-2.50
6 Cr 0.6247 0.6247 0.6247  6 Cr 2.49-2.50

---

DFT (PBE-GGA) results for an optimized crystal structure of HfO2F4.

## Properties
- Total energy: -0.2134 hartree per atom
- Spin magnetization: 4.0 Bohr magnetons per cell
- Theoretical density: 4.84 g/cm3

Lattice parameters (Å, degrees): 3.5125 3.5752 8.3531 106.20 102.14 90.00
With the nearest neighbours (Å) after each atom.
Atoms (fractional coordinates):
1 Hf 0.0000 0.0000 0.0000  8 F 2.11-2.13
2 O 0.2321 0.1437 0.4642  2 O 2.20
3 O 0.7679 0.8563 0.5358  2 O 2.20
4 F 0.0737 0.5971 0.1475  2 Hf 2.12-2.13, 1 F 2.31
5 F 0.9263 0.4029 0.8525  2 Hf 2.12-2.13, 1 F 2.31
6 F 0.4254 0.9008 0.8509  2 Hf 2.11, 1 F 2.33
7 F 0.5746 0.0992 0.1491  2 Hf 2.11, 1 F 2.33

---

DFT (PBE-GGA) results for an optimized crystal structure of KYAlPb2.

## Properties
- Total energy: -0.1304 hartree per atom
- Spin magnetization: 0.0 Bohr magnetons per cell
- Theoretical density: 5.39 g/cm3
- E_form: 95 kJ/mol of formula units

Lattice parameters (Å, degrees): 5.6067 5.5804 5.6067 90.00 90.00 90.00
With the nearest neighbours (Å) after each atom.
Atoms (fractional coordinates):
1 Pb 0.0000 0.0000 0.5000  2 Al 2.80
2 Pb 0.5000 0.0000 0.0000  2 Al 2.80
3 Y 0.0000 0.5000 0.0000  2 Al 2.79
4 K 0.5000 0.5000 0.5000  8 Pb 3.96, 4 Y 3.96
5 Al 0.0000 0.0000 0.0000  2 Y 2.79, 4 Pb 2.80

---

DFT (PBE-GGA) results for an optimized crystal structure of Mn2VReH.

## Properties
- Total energy: -0.3164 hartree per atom
- Spin magnetization: 3.3 Bohr magnetons per cell
- Theoretical density: 10.73 g/cm3

Lattice parameters (Å, degrees): 3.6556 3.6556 4.0298 90.00 90.00 90.00
With the nearest neighbours (Å) after each atom.
Atoms (fractional coordinates):
1 Re 0.0000 0.0000 0.5000  2 H 2.01
2 Mn 0.0000 0.5000 0.0000  2 H 1.83
3 Mn 0.5000 0.0000 0.0000  2 H 1.83
4 H 0.0000 0.0000 0.0000  4 Mn 1.83, 2 Re 2.01
5 V 0.5000 0.5000 0.5000  4 Re 2.58, 8 Mn 2.72

---

DFT (PBE-GGA) results for an optimized crystal structure of NdEr3Ru2.

## Properties
- Total energy: -0.2386 hartree per atom
- Spin magnetization: 0.0 Bohr magnetons per cell
- Theoretical density: 9.82 g/cm3
- E_form: -189 kJ/mol of formula units

Lattice parameters (Å, degrees): 3.4043 3.4043 12.3706 90.00 90.00 90.00
With the nearest neighbours (Å) after each atom.
Atoms (fractional coordinates):
1 Nd 0.5000 0.5000 0.5000  4 Nd 3.40, 8 Er 3.75
2 Er 0.0000 0.0000 0.0000  8 Ru 2.98, 2 Er 3.31
3 Er 0.0000 0.0000 0.7326  4 Ru 2.87
4 Er 0.0000 0.0000 0.2674  4 Ru 2.87
5 Ru 0.5000 0.5000 0.8586  8 Er 2.87-2.98
6 Ru 0.5000 0.5000 0.1414  8 Er 2.87-2.98

---

Question: Number 2 is which compound?
Answer: VIrS2Cl

---

Question: Among the records above, which one has the highest spin magnetization?
Answer: HfO2F4

---

Question: What is the formula in the tenth record?
Answer: KYAlPb2

---

Repeat the eleventh record exactly.
DFT (PBE-GGA) results for an optimized crystal structure of Mn2VReH.

## Properties
- Total energy: -0.3164 hartree per atom
- Spin magnetization: 3.3 Bohr magnetons per cell
- Theoretical density: 10.73 g/cm3

Lattice parameters (Å, degrees): 3.6556 3.6556 4.0298 90.00 90.00 90.00
With the nearest neighbours (Å) after each atom.
Atoms (fractional coordinates):
1 Re 0.0000 0.0000 0.5000  2 H 2.01
2 Mn 0.0000 0.5000 0.0000  2 H 1.83
3 Mn 0.5000 0.0000 0.0000  2 H 1.83
4 H 0.0000 0.0000 0.0000  4 Mn 1.83, 2 Re 2.01
5 V 0.5000 0.5000 0.5000  4 Re 2.58, 8 Mn 2.72